#i
This record from the Alexandria database describes a geometry-optimized TbEr2Ni2 structure. The functional is PBE.

CIF file:
```
data_TbEr2Ni2
_chemical_formula_sum 'Tb4 Er8 Ni8'
_cell_length_a 3.6264
_cell_length_b 29.8008
_cell_length_c 4.2177
_cell_angle_alpha 90.00
_cell_angle_beta 90.00
_cell_angle_gamma 90.00
_symmetry_space_group_name_H-M 'C m c m'
_symmetry_Int_Tables_number 63
_symmetry_space_group_name_Hall '-C 2c 2'
loop_
_atom_site_label
_atom_site_type_symbol
_atom_site_fract_x
_atom_site_fract_y
_atom_site_fract_z
Tb1 Tb 0.0000 0.1228 0.2500
Er1 Er 0.0000 0.2145 0.7500
Er2 Er 0.0000 0.4531 0.2500
Ni1 Ni 0.0000 0.0255 0.2500
Ni2 Ni 0.0000 0.3560 0.2500
```

***

#ii
This record from the Alexandria database describes a geometry-optimized TbEr2Ni2 structure. The functional is PBE.

CIF file:
```
data_TbEr2Ni2
_chemical_formula_sum 'Tb2 Er4 Ni4'
_cell_length_a 11.3671
_cell_length_b 3.7605
_cell_length_c 5.4727
_cell_angle_alpha 90.00
_cell_angle_beta 104.28
_cell_angle_gamma 90.00
_symmetry_space_group_name_H-M 'C 1 2/m 1'
_symmetry_Int_Tables_number 12
loop_
_symmetry_equiv_pos_as_xyz
'x,y,z'
'-x,-y,-z'
'-x,y,-z'
'x,-y,z'
'x+1/2,y+1/2,z'
'-x+1/2,-y+1/2,-z'
'-x+1/2,y+1/2,-z'
'x+1/2,-y+1/2,z'
loop_
_atom_site_label
_atom_site_type_symbol
_atom_site_fract_x
_atom_site_fract_y
_atom_site_fract_z
Tb1 Tb 0.0000 0.0000 0.0000
Er1 Er 0.1487 0.5000 0.5891
Ni1 Ni 0.2136 0.5000 0.1140
```

***

Among the structures shown above, #i is the most stable, with the second-best lying 44 meV/atom higher.